Record 1
TaReSb3: optimized geometry, PBEsol.

```
TaReSb3
1.0
-2.9545 4.0941 1.3704
-2.6911 -0.4478 -4.4639
-3.3761 -3.2259 2.3589
Re Sb Ta
1 3 1
Cartesian
-4.5108 0.2102 -0.3673
-1.3455 -0.2239 -2.2319
-1.6880 -1.6129 1.1795
-1.4772 2.0471 0.6852
0.0000 0.0000 0.0000
```

Computed properties:
ΔE_f (raw): 1.6170 eV per atom

---

Record 2
AsIrBr2: optimized geometry, PBEsol.

```
AsIrBr2
1.0
-0.1698 -2.5480 2.4504
3.2762 0.8080 1.0672
-2.8501 4.9791 4.9798
As Ir Br
1 1 2
Cartesian
-0.1729 2.1455 4.7747
-1.8356 3.2068 3.2073
-2.7304 4.7699 4.7706
0.7200 0.5856 3.2146
```

Computed properties:
ΔE_f (raw): 0.1441 eV per atom

---

Record 3
ZnNiIr: optimized geometry, PBEsol.

```
ZnNiIr
1.0
2.6656 0.0000 0.0000
0.0000 2.6656 0.0000
-1.3328 -1.3328 5.2941
Ni Zn Ir
1 1 1
Cartesian
1.3328 1.3328 1.7679
0.0000 0.0000 3.4627
0.0000 0.0000 0.0636
```

Computed properties:
ΔH_f (0 K): -0.081 eV/atom

---

Record 4
Mg2MnSi: optimized geometry, PBEsol.

```
Mg2MnSi
1.0
3.4446 0.0000 0.0000
0.0000 4.3223 0.0000
-1.7223 -2.1612 4.3023
Mg Mn Si
2 1 1
Cartesian
1.7223 2.1612 4.1799
1.7223 0.0000 2.2663
1.7223 2.1612 0.2650
0.0000 2.1612 1.8936
```

Computed properties:
ΔE_f (raw): 0.1012 eV per atom

---

Record 5
Sb2AuO: optimized geometry, PBEsol.

```
Sb2AuO
1.0
-4.1755 -2.8412 -0.2293
0.0414 -0.4671 5.0339
-1.7924 7.2814 -1.8484
Sb Au O
4 2 2
Cartesian
-2.3283 0.1076 3.8373
-3.7355 -0.6023 1.2442
-1.8576 5.0082 -0.3630
-3.9316 3.4325 1.1938
-1.9090 2.5800 2.7939
0.0000 0.0000 0.0000
-4.0175 1.3930 0.1623
-2.0670 -1.6542 2.4023
```

Computed properties:
ΔE_f (raw): -0.2287 eV per atom

---

Record 6
TlAgPb2: optimized geometry, PBEsol.

```
TlAgPb2
1.0
-1.6506 -2.3862 1.8059
-1.4355 -2.6607 -1.5938
7.6293 -6.9357 1.0427
Pb Tl Ag
2 1 1
Cartesian
-2.8385 -5.1971 0.2399
3.3726 -8.9658 0.9372
2.0312 -5.8454 0.6004
1.1633 -3.0124 0.3168
```

Computed properties:
ΔH_f (0 K): 0.090 eV/atom

---

Question: What is the formula in the fifth record?
Answer: Sb2AuO

---

Repeat the second record exactly.
AsIrBr2: optimized geometry, PBEsol.

```
AsIrBr2
1.0
-0.1698 -2.5480 2.4504
3.2762 0.8080 1.0672
-2.8501 4.9791 4.9798
As Ir Br
1 1 2
Cartesian
-0.1729 2.1455 4.7747
-1.8356 3.2068 3.2073
-2.7304 4.7699 4.7706
0.7200 0.5856 3.2146
```

Computed properties:
ΔE_f (raw): 0.1441 eV per atom